Entry 1:
A plane-wave DFT calculation with PBE-GGA was carried out for a relaxed structure of Dy3HoGa4.

## Properties
density: 8.53 Mg/m³
ΔE_f: -0.5806 eV per atom
polymorph energy (0 for the lowest one): 0.00 eV per formula unit
total magnetization: 0.00 μB per formula unit
V: 181.3 Å³/f.u.

Cell and atoms, written as CIF:
```
data_Dy3HoGa4
_chemical_formula_sum 'Dy9 Ho3 Ga12'
_symmetry_space_group_name_H-M 'R -3 m'
_symmetry_Int_Tables_number 166
_symmetry_space_group_name_Hall '-R 3 2"'
_cell_length_a 5.0375
_cell_length_b 5.0375
_cell_length_c 24.7500
_cell_angle_alpha 90.00
_cell_angle_beta 90.00
_cell_angle_gamma 120.00
loop_
_atom_site_label
_atom_site_fract_x
_atom_site_fract_y
_atom_site_fract_z
Dy1 0.0000 0.0000 0.0000
Dy2 0.0000 0.0000 0.2499
Ho1 0.0000 0.0000 0.5000
Ga1 0.0000 0.0000 0.1252
Ga2 0.0000 0.0000 0.3752
```

---

Entry 2:
A plane-wave DFT calculation with PBE-GGA was carried out for a relaxed structure of DyHo4Ga15.

## Properties
density: 8.00 Mg/m³
ΔE_f: -0.5338 eV per atom
total magnetization: 0.00 μB per formula unit
V: 387.5 Å³/f.u.

Cell and atoms, written as CIF:
```
data_DyHo4Ga15
_chemical_formula_sum 'Dy1 Ho4 Ga15'
_symmetry_space_group_name_H-M 'P 4/m m m'
_symmetry_Int_Tables_number 123
_symmetry_space_group_name_Hall '-P 4 2'
_cell_length_a 4.270
_cell_length_b 4.270
_cell_length_c 21.253
_cell_angle_alpha 90.00
_cell_angle_beta 90.00
_cell_angle_gamma 90.00
loop_
_atom_site_label
_atom_site_fract_x
_atom_site_fract_y
_atom_site_fract_z
Dy1 0.000 0.000 0.000
Ho1 0.000 0.000 0.200
Ho2 0.000 0.000 0.400
Ga1 0.000 0.500 0.100
Ga2 0.000 0.500 0.300
Ga3 0.000 0.500 0.500
Ga4 0.500 0.500 0.000
Ga5 0.500 0.500 0.200
Ga6 0.500 0.500 0.400
```

---

Entry 3:
A plane-wave DFT calculation with PBE-GGA was carried out for a relaxed structure of Dy6Ho2Ga.

## Properties
density: 8.28 Mg/m³
ΔE_f: 0.0206 eV per atom
total magnetization: 0.00 μB per formula unit
V: 275.7 Å³/f.u.

Cell and atoms, written as CIF:
```
data_Dy6Ho2Ga
_chemical_formula_sum 'Dy12 Ho4 Ga2'
_symmetry_space_group_name_H-M 'C m m m'
_symmetry_Int_Tables_number 65
_symmetry_space_group_name_Hall '-C 2 2'
_cell_length_a 9.180
_cell_length_b 17.093
_cell_length_c 3.514
_cell_angle_alpha 90.00
_cell_angle_beta 90.00
_cell_angle_gamma 90.00
loop_
_atom_site_label
_atom_site_fract_x
_atom_site_fract_y
_atom_site_fract_z
Dy1 0.172 0.162 0.000
Dy2 0.215 0.500 0.500
Ho1 0.000 0.322 0.500
Ga1 0.000 0.000 0.000
```

---

Entry 4:
A plane-wave DFT calculation with PBE-GGA was carried out for a relaxed structure of DyHoGa4.

## Properties
density: 8.25 Mg/m³
ΔE_f: -0.6254 eV per atom
polymorph energy (0 for the lowest one): 0.02 eV per formula unit
total magnetization: 0.00 μB per formula unit
V: 122.0 Å³/f.u.

Cell and atoms, written as CIF:
```
data_DyHoGa4
_chemical_formula_sum 'Dy1 Ho1 Ga4'
_symmetry_space_group_name_H-M 'P 6/m m m'
_symmetry_Int_Tables_number 191
_symmetry_space_group_name_Hall '-P 6 2'
_cell_length_a 4.3290
_cell_length_b 4.3290
_cell_length_c 7.5168
_cell_angle_alpha 90.00
_cell_angle_beta 90.00
_cell_angle_gamma 120.00
loop_
_atom_site_label
_atom_site_fract_x
_atom_site_fract_y
_atom_site_fract_z
Dy1 0.0000 0.0000 0.0000
Ho1 0.0000 0.0000 0.5000
Ga1 0.3333 0.6667 0.2514
```